# 1
Crystalline ZnTcRh at its relaxed geometry. Source: the Alexandria database, functional PBE.

Structure (POSCAR):
```
ZnTcRh
1.0
-1.0910 3.0746 -2.7845
-1.6817 -3.9279 -0.3748
-2.0297 0.7175 1.5875
Tc Rh Zn
1 1 1
direct
0.6667 0.3333 0.3329
0.0000 0.0000 0.8328
0.3333 0.6667 0.8343
```

Computed properties:
Space group   P-6m2
Energy relative to the lowest polymorph listed for this composition   180 meV per atom
Calculated formation energy   1.3 kJ/mol of atoms

# 2
Crystalline CdFeHg2 at its relaxed geometry. Source: the Alexandria database, functional PBE.

Structure (POSCAR):
```
CdFeHg2
1.0
-2.0046 -1.1949 6.3959
2.1866 -4.4405 4.6749
0.6290 5.2216 -4.3236
Hg Fe Cd
2 1 1
direct
0.4367 0.4367 0.0000
0.0633 0.0633 0.0000
0.2500 0.7500 0.5000
0.7500 0.2500 0.5000
```

Computed properties:
Space group   Immm
Calculated formation energy   29.0 kJ/mol of atoms

# 3
Crystalline BaAgTe2 at its relaxed geometry. Source: the Alexandria database, functional PBE.

Structure (POSCAR):
```
BaAgTe2
1.0
-4.7940 6.7000 2.6786
-5.5247 2.4714 6.1982
-0.9565 5.6051 6.5357
Te Ba Ag
2 1 1
direct
0.1083 0.1083 0.1083
0.8917 0.8917 0.8917
0.5000 0.5000 0.5000
0.0000 0.0000 0.0000
```

Computed properties:
Space group   R-3m
Energy relative to the elements, uncorrected   -0.580 eV/atom

# 4
Crystalline P2PbCl at its relaxed geometry. Source: the Alexandria database, functional PBE.

Structure (POSCAR):
```
P2PbCl
1.0
-3.0190 -0.9907 -1.8814
2.3111 -2.7281 0.9229
-3.7420 -0.9664 6.5137
Pb P Cl
1 2 1
direct
0.5000 0.5000 0.2500
0.0000 0.0000 0.4959
0.0000 0.0000 0.0041
0.5000 0.5000 0.7500
```

Computed properties:
Space group   Cmmm
Energy relative to the elements, uncorrected   0.665 eV/atom
Energy relative to the lowest polymorph listed for this composition   897 meV per atom

# 5
Crystalline Sr6In5Ag at its relaxed geometry. Source: the Alexandria database, functional PBE.

Structure (POSCAR):
```
Sr6In5Ag
1.0
-3.7386 -1.0107 -4.1448
1.3145 -8.0860 0.7861
-8.1518 -0.9649 3.7065
In Sr Ag
5 6 1
direct
0.3321 0.5000 0.3358
0.6679 0.5000 0.6642
0.6750 0.0000 0.6499
0.3250 0.0000 0.3501
0.0000 0.5000 0.0000
0.1628 0.7505 0.6745
0.8372 0.2495 0.3255
0.5000 0.2441 0.0000
0.1628 0.2495 0.6745
0.5000 0.7559 0.0000
0.8372 0.7505 0.3255
0.0000 0.0000 0.0000
```

Computed properties:
Space group   Cmmm
Calculated formation energy   -38.7 kJ/mol of atoms

# 6
Crystalline RbMg3B at its relaxed geometry. Source: the Alexandria database, functional PBE.

Structure (POSCAR):
```
RbMg3B
1.0
4.9602 0.0000 0.0000
0.0000 4.9602 0.0000
0.0000 0.0000 4.9602
Mg B Rb
3 1 1
direct
0.0000 0.0000 0.5000
0.5000 0.0000 0.0000
0.0000 0.5000 0.0000
0.0000 0.0000 0.0000
0.5000 0.5000 0.5000
```

Computed properties:
Space group   Pm-3m
Energy relative to the lowest polymorph listed for this composition   0 meV per atom
Calculated formation energy   48.0 kJ/mol of atoms

# 7
Crystalline Ta2FeAs at its relaxed geometry. Source: the Alexandria database, functional PBE.

Structure (POSCAR):
```
Ta2FeAs
1.0
8.6566 -0.0178 -0.0105
8.1539 2.9071 -0.0105
8.1539 1.4015 2.5470
Ta As Fe
2 1 1
direct
0.4961 0.4961 0.4961
0.0039 0.0039 0.0039
0.2500 0.2500 0.2500
0.7500 0.7500 0.7500
```

Computed properties:
Space group   R-3m
Calculated formation energy   19.3 kJ/mol of atoms

# 8
Crystalline LaDyHo4 at its relaxed geometry. Source: the Alexandria database, functional PBE.

Structure (POSCAR):
```
LaDyHo4
1.0
-1.0587 2.2482 -2.3438
-3.4831 -4.0481 -2.3065
-7.3816 2.8787 6.0949
Ho Dy La
4 1 1
direct
0.9973 0.5013 0.6958
0.4973 0.0013 0.8193
0.9973 0.5013 0.3079
0.4973 0.0013 0.1844
0.4973 0.5013 0.0019
0.9973 0.0013 0.5019
```

Computed properties:
Space group   Pmmm
Energy relative to the lowest polymorph listed for this composition   135 meV per atom
Calculated formation energy   19.6 kJ/mol of atoms

Values of total energy, in order: -6.317, -2.194, -3.344, -3.429, -2.620, -1.988, -9.004, -4.437, all in eV per atom.